First-principles (PBE-GGA) data for Ce3Ga2Si after structural relaxation, as listed in the Alexandria database.

Calculated values
As for the density of states at the Fermi level: 2.1416 states/eV per atom. Its formation energy without anion corrections is -0.478 eV per atom. The value obtained for the density is 7.1 g/cm3. The value obtained for the electronic total energy is -5.358 eV/atom. The value obtained for the offset from the most stable computed form is 29 meV/atom.

a = 12.432 Å, b = 4.089 Å, c = 10.747 Å
α = 90.00°, β = 90.00°, γ = 90.00°
Space group Pnma (No. 62)
Symmetry-distinct sites (fractional):
Ce: 0.043 0.250 0.084 x4
Ce: 0.124 0.750 0.573 x4
Ce: 0.218 0.250 0.753 x4
Ga: 0.025 0.750 0.290 x4
Ga: 0.201 0.750 0.976 x4
Si: 0.124 0.250 0.360 x4